This record from Alexandria describes Ac3Pd8Au3 after structural relaxation. The functional is PBE.

Calculated values
SG = Immm
Energy relative to the elements = -0.637 eV per atom

POSCAR file:
```
Ac3Pd8Au3
1.0
4.5202 0.0000 0.0000
2.2601 8.3818 0.3146
2.2601 2.5847 7.9795
Ac Pd Au
3 8 3
Direct
0.5000 0.5000 0.5000
0.8111 0.1889 0.1889
0.1889 0.8111 0.8111
0.6185 0.1129 0.6501
0.3815 0.8871 0.3499
0.6185 0.6501 0.1129
0.3815 0.3499 0.8871
0.8125 0.8314 0.5436
0.1875 0.1686 0.4564
0.8125 0.5436 0.8314
0.1875 0.4564 0.1686
0.5000 0.0000 0.0000
0.0000 0.7747 0.2253
0.0000 0.2253 0.7747
```

---

This record from Alexandria describes NaGeO3 after structural relaxation. The functional is PBE.

Calculated values
Formation energy (no corrections) = -1274 meV per atom
SG = Pm-3m

POSCAR file:
```
NaGeO3
1.0
-3.5979 -0.2895 0.9142
0.8744 -2.4480 2.6659
0.3938 2.7906 2.4334
Na Ge O
1 1 3
Direct
0.5000 0.5000 0.5000
0.0000 0.0000 0.0000
0.0000 0.5000 0.0000
0.0000 0.0000 0.5000
0.5000 0.0000 0.0000
```

---

This record from Alexandria describes Pr2P4Ru5 after structural relaxation. The functional is PBE.

Calculated values
SG = Fmmm
Energy relative to the elements = -0.786 eV per atom

POSCAR file:
```
Pr2P4Ru5
1.0
5.7609 0.0000 0.0000
2.8804 5.2534 0.0000
2.8804 0.0000 6.1881
Pr P Ru
2 4 5
Direct
0.8625 0.0000 0.2751
0.1375 0.0000 0.7249
0.4858 0.2979 0.7305
0.5142 0.7021 0.2695
0.2163 0.2979 0.2695
0.7837 0.7021 0.7305
0.5000 0.0000 0.0000
0.0000 0.5000 0.0000
0.5000 0.5000 0.0000
0.2500 0.5000 0.5000
0.7500 0.5000 0.5000
```

---

This record from Alexandria describes KGaTe3Pb after structural relaxation. The functional is PBE.

Calculated values
Formation energy (no corrections) = -537 meV per atom
SG = P2_1/m

POSCAR file:
```
KGaTe3Pb
1.0
-1.2437 -4.3042 -0.8688
7.4714 -0.8731 -6.3697
3.7960 -3.0320 9.5872
K Ga Te Pb
2 2 6 2
Direct
0.2500 0.2211 0.2298
0.7500 0.7789 0.7702
0.2500 0.0766 0.6277
0.7500 0.9234 0.3723
0.7500 0.9255 0.1338
0.2500 0.0745 0.8662
0.2500 0.8116 0.4559
0.7500 0.1884 0.5441
0.7500 0.4716 0.1811
0.2500 0.5284 0.8189
0.2500 0.6654 0.1127
0.7500 0.3346 0.8873
```

---

This record from Alexandria describes HfSc2Zn5 after structural relaxation. The functional is PBE.

Calculated values
SG = I4/mmm
Energy relative to the elements = -0.258 eV per atom

POSCAR file:
```
HfSc2Zn5
1.0
-3.9656 -1.5021 -1.6477
-0.1811 -3.1338 3.2929
-1.2088 6.6543 3.1236
Hf Sc Zn
1 2 5
Direct
0.0000 0.0000 0.0000
0.7421 0.7421 0.4842
0.2579 0.2579 0.5158
0.5000 0.5000 0.0000
0.8819 0.3819 0.7638
0.3819 0.8819 0.7638
0.1181 0.6181 0.2362
0.6181 0.1181 0.2362
```

---

This record from Alexandria describes Li2AlCd2 after structural relaxation. The functional is PBE.

Calculated values
SG = I4/mmm
E above lowest polymorph = 227 meV/atom
Energy relative to the elements = 0.050 eV per atom

POSCAR file:
```
Li2AlCd2
1.0
3.6927 0.0000 0.0000
0.0000 3.6927 0.0000
1.8464 1.8464 7.3484
Li Al Cd
2 1 2
Direct
0.7500 0.2500 0.5000
0.2500 0.7500 0.5000
0.0000 0.0000 0.0000
0.3959 0.3959 0.2081
0.6041 0.6041 0.7919
```

---

This record from Alexandria describes NaCa4Tb3S8 after structural relaxation. The functional is PBE.

Calculated values
Formation energy (no corrections) = -2026 meV per atom
SG = R-3m

POSCAR file:
```
NaCa4Tb3S8
1.0
-7.8573 1.0055 -0.8743
-0.8978 -7.8738 -0.9864
3.6776 2.8007 6.4929
Na Ca Tb S
1 4 3 8
Direct
0.0000 0.5000 0.0000
0.5000 0.0000 0.0000
0.5000 0.0000 0.5000
0.0000 0.0000 0.0000
0.0000 0.0000 0.5000
0.5000 0.5000 0.0000
0.5000 0.5000 0.5000
0.0000 0.5000 0.5000
0.2515 0.7457 0.9943
0.2516 0.7460 0.5032
0.2516 0.2550 0.5032
0.7428 0.7457 0.9943
0.2572 0.2543 0.0057
0.7484 0.7450 0.4968
0.7484 0.2540 0.4968
0.7485 0.2543 0.0057
```

---

This record from Alexandria describes CaAc2Cd4 after structural relaxation. The functional is PBE.

Calculated values
SG = R-3m
Energy relative to the elements = -0.141 eV per atom

POSCAR file:
```
CaAc2Cd4
1.0
5.2776 0.0000 1.6488
2.3812 4.7099 1.6488
-0.1220 -0.0750 9.6611
Ca Ac Cd
1 2 4
Direct
0.0000 0.0000 0.0000
0.7518 0.7518 0.7445
0.2482 0.2482 0.2555
0.8753 0.8753 0.3742
0.1247 0.1247 0.6258
0.6260 0.6260 0.1221
0.3740 0.3740 0.8779
```

---

| no. | DOS(E_F) (states/eV per cell) | magnetic moment (μB/cell) |
| --- | --- | --- |
| 1 | 5.51 | 0.000 |
| 2 | 2.57 | 0.000 |
| 3 | 7.44 | 0.000 |
| 4 | 4.13 | 0.000 |
| 5 | 3.87 | 0.503 |
| 6 | 1.82 | 0.000 |
| 7 | 3.97 | 0.000 |
| 8 | 5.53 | 0.000 |